(1)
Density functional theory data (PBE) for a relaxed TiTl3Pd crystal.

The structure in POSCAR format:
```
TiTl3Pd
1.0
-4.8991 0.7162 1.9786
1.6520 -1.7964 4.7406
1.3034 4.9688 1.4286
Tl Pd Ti
3 1 1
direct
0.0000 0.5000 0.0000
0.0000 0.0000 0.5000
0.5000 0.0000 0.0000
0.5000 0.5000 0.5000
0.0000 0.0000 0.0000
```

Values from the calculation:
Its space-group type is No. 221.


(2)
Density functional theory data (PBE) for a relaxed TiTl2Pd crystal.

The structure in POSCAR format:
```
TiTl2Pd
1.0
7.6345 0.0000 0.0000
0.0000 7.6345 0.0000
3.8173 3.8173 3.0046
Tl Pd Ti
4 2 2
direct
0.6370 0.1250 0.2500
0.1130 0.6250 0.2500
0.3750 0.3630 0.7500
0.8750 0.8870 0.7500
0.0000 0.0000 0.0000
0.7500 0.2500 0.5000
0.5000 0.5000 0.0000
0.2500 0.7500 0.5000
```

Values from the calculation:
Its space-group type is No. 122.


(3)
Density functional theory data (PBE) for a relaxed TiTlPd2W crystal.

The structure in POSCAR format:
```
TiTlPd2W
1.0
4.8520 0.0000 0.0000
0.0000 5.1145 0.0000
0.0000 0.0000 4.8520
Tl Pd W Ti
1 2 1 1
direct
0.0000 0.0000 0.0000
0.0000 0.0000 0.5000
0.5000 0.0000 0.0000
0.0000 0.5000 0.0000
0.5000 0.5000 0.5000
```

Values from the calculation:
Its space-group type is No. 123.


(4)
Density functional theory data (PBE) for a relaxed TiTlPd2W crystal.

The structure in POSCAR format:
```
TiTlPd2W
1.0
4.9484 0.0000 0.0000
0.0000 4.6475 0.0000
0.0000 0.0000 4.9484
Tl Pd W Ti
1 2 1 1
direct
0.5000 0.5000 0.5000
0.0000 0.0000 0.5000
0.5000 0.0000 0.0000
0.0000 0.0000 0.0000
0.0000 0.5000 0.0000
```

Values from the calculation:
Its space-group type is No. 123.


Short version: DFT formation energy = 0.749, 0.226, 1.749, 0.874 eV per atom, in the order given.
Short version: E above lowest polymorph = 0.112, 0.144, 0.875, 0.000 eV/atom, in the order given.
Short version: calculated volume = 30.3, 21.9, 24.1, 22.8 A^3/atom, in the order given.